Material: NaCuMoO4
Method: DFT, PBE+U
State: relaxed

Cell: 6.3068 6.4606 6.5344 Å, 90.00 118.70 90.00°
With the nearest neighbours (Å) after each atom.
Fractional coordinates of all 14 atoms:
Na1 0.1303 0.2500 0.4590  4 O 2.26-2.50
Na2 0.8697 0.7500 0.5410  4 O 2.26-2.50
Cu1 0.2745 0.7500 0.2282  2 O 1.82
Cu2 0.7255 0.2500 0.7718  2 O 1.82
Mo1 0.4088 0.2500 0.1584  4 O 1.78-1.83
Mo2 0.5912 0.7500 0.8416  4 O 1.78-1.83
O1 0.2710 0.7500 0.6662  1 Mo 1.78
O2 0.2737 0.0314 0.2330  1 Cu 1.82, 1 Mo 1.83
O3 0.2737 0.4686 0.2330  1 Cu 1.82, 1 Mo 1.83
O4 0.3353 0.2500 0.8593  1 Mo 1.78
O5 0.6647 0.7500 0.1407  1 Mo 1.78
O6 0.7263 0.5314 0.7670  1 Cu 1.82, 1 Mo 1.83
O7 0.7263 0.9686 0.7670  1 Cu 1.82, 1 Mo 1.83
O8 0.7290 0.2500 0.3338  1 Mo 1.78

For the total energy, the calculation gives -84.2 eV for the cell shown. The density of states at the Fermi level is 0.000 states/eV/f.u.